Record 1
Here is a relaxed Mn2TlCu crystal from Alexandria. Energies are from PBE-GGA.

Lattice parameters (Å, degrees): 4.5189 4.5189 4.5189 60.00 60.00 60.00
With the nearest neighbours (Å) after each atom.
Atoms (fractional coordinates):
Mn1 0.0000 0.0000 0.0000  4 Tl 2.77, 4 Mn 2.77
Mn2 0.2500 0.2500 0.2500  4 Mn 2.77, 4 Cu 2.77
Tl1 0.7500 0.7500 0.7500  4 Mn 2.77, 4 Cu 2.77
Cu1 0.5000 0.5000 0.5000  4 Tl 2.77, 4 Mn 2.77

Values from the calculation:
calculated formation energy: 513 meV/atom
crystal system: cubic
space group: F-43m (216)

Record 2
Here is a relaxed Y4Cd3Hg2 crystal from Alexandria. Energies are from PBE-GGA.

Lattice parameters (Å, degrees): 5.1833 5.1833 9.9494 90.00 90.00 120.00
With the nearest neighbours (Å) after each atom.
Atoms (fractional coordinates):
Y1 0.0000 0.0000 0.1712  3 Hg 3.27, 7 Cd 3.27-3.56, 4 Y 3.41-3.66
Y2 0.0000 0.0000 0.8288  3 Hg 3.27, 7 Cd 3.27-3.56, 4 Y 3.41-3.66
Y3 0.3333 0.6667 0.3829  4 Hg 3.09-3.12, 3 Cd 3.21
Y4 0.6667 0.3333 0.6171  4 Hg 3.09-3.12, 3 Cd 3.21
Cd1 0.0000 0.0000 0.5000  8 Y 3.21-3.27, 6 Hg 3.57
Cd2 0.3333 0.6667 0.0221  3 Cd 3.02, 1 Hg 3.24, 3 Y 3.34
Cd3 0.6667 0.3333 0.9779  3 Cd 3.02, 1 Hg 3.24, 3 Y 3.34
Hg1 0.3333 0.6667 0.6962  7 Y 3.09-3.27, 1 Cd 3.24
Hg2 0.6667 0.3333 0.3038  7 Y 3.09-3.27, 1 Cd 3.24

Values from the calculation:
calculated formation energy: -367 meV/atom
crystal system: trigonal
space group: P-3m1 (164)

Record 3
Here is a relaxed AgHgTe2 crystal from Alexandria. Energies are from PBE-GGA.

Lattice parameters (Å, degrees): 5.6521 5.6521 5.6521 129.58 129.58 74.09
With the nearest neighbours (Å) after each atom.
Atoms (fractional coordinates):
Ag1 0.0000 0.0000 0.0000  8 Te 3.30, 4 Hg 3.40
Hg1 0.5000 0.5000 0.0000  8 Te 3.30, 4 Ag 3.40
Te1 0.2500 0.7500 0.5000  4 Hg 3.30, 4 Ag 3.30, 4 Te 3.40
Te2 0.7500 0.2500 0.5000  4 Hg 3.30, 4 Ag 3.30, 4 Te 3.40

Values from the calculation:
crystal system: tetragonal
energy relative to the elements, uncorrected: 263 meV/atom
space group: I4/mmm (139)

no.,calculated volume (Å³/cell)
1,65.25
2,231.50
3,104.60